1.
Computed, not measured: a geometry-optimized Tb6Te3AsP2 structure at the PBE-GGA level of DFT.

The value obtained for the uncorrected formation energy is -1.548 eV per atom.

The structure belongs to space group C2/m (No. 12); the cell edges are 18.6074, 4.1612 and 8.5626 Å and the angles 90.00°, 105.69° and 90.00°. The inequivalent atoms are Tb at (0.0112, 0.0000, 0.2372), Tb at (0.1623, 0.5000, 0.1103), Tb at (0.1763, 0.5000, 0.5623), Te at (0.0000, 0.5000, 0.5000), Te at (0.1648, 0.0000, 0.8330), As at (0.0000, 0.5000, 0.0000) and P at (0.1672, 0.0000, 0.3344).


2.
Computed, not measured: a geometry-optimized Tb4TeAs2P structure at the PBE-GGA level of DFT.

The value obtained for the uncorrected formation energy is -1.532 eV per atom.

The structure belongs to space group P2/m (No. 10); the cell edges are 7.2095, 4.1598 and 7.2492 Å and the angles 90.00°, 109.25° and 90.00°. The inequivalent atoms are Tb at (0.2364, 0.0000, 0.2303), Tb at (0.2474, 0.5000, 0.7628), Te at (0.5000, 0.5000, 0.5000), As at (0.0000, 0.0000, 0.5000), As at (0.0000, 0.5000, 0.0000) and P at (0.5000, 0.0000, 0.0000).